[1]
Below is a relaxed V2InNiH crystal, with properties calculated at the PBE-GGA level. Values from VASP.

Cell and atoms, written as Quantum ESPRESSO input:
```
&SYSTEM
  ibrav = 0, nat = 5, ntyp = 4
/
ATOMIC_SPECIES
V 50.94 V.upf
Ni 58.69 Ni.upf
In 114.82 In.upf
H 1.01 H.upf
ATOMIC_POSITIONS crystal
V 0.500 0.000 0.000
V 0.000 0.500 0.000
Ni 0.000 0.000 0.500
In 0.500 0.500 0.500
H 0.000 0.000 0.000
CELL_PARAMETERS angstrom
-1.049 -3.257 1.492
-0.058 -1.539 -3.401
4.044 -1.105 0.431
```



[2]
Below is a relaxed ZnInNi2H crystal, with properties calculated at the PBE-GGA level. Values from VASP.

Cell and atoms, written as Quantum ESPRESSO input:
```
&SYSTEM
  ibrav = 0, nat = 5, ntyp = 4
/
ATOMIC_SPECIES
Ni 58.69 Ni.upf
Zn 65.41 Zn.upf
H 1.01 H.upf
In 114.82 In.upf
ATOMIC_POSITIONS crystal
Ni 0.500 0.000 0.000
Ni 0.000 0.500 0.000
Zn 0.000 0.000 0.500
H 0.000 0.000 0.000
In 0.500 0.500 0.500
CELL_PARAMETERS angstrom
-1.788 3.293 1.045
-1.009 -1.622 3.389
3.260 1.269 1.578
```



no.,raw total energy (eV/f.u.),mass density (g cm⁻³)
1,-30.31,7.81
2,-18.96,8.54